1.
DFT (GGA-PBE) results for an optimized crystal structure of Ba6Na2RhI.

extended XYZ file:
```
20
Lattice="8.342 0.000 0.000 0.000 9.763 0.000 -7.682 0.000 12.699" Properties=species:S:1:pos:R:3 pbc="T T T"
Ba -0.899 0.321 2.942
Ba -4.740 4.561 9.291
Ba 1.248 7.015 0.689
Ba -2.593 7.630 7.038
Ba 2.666 1.553 0.578
Ba -1.175 3.328 6.927
Ba 1.835 6.435 5.772
Ba -2.007 8.210 12.121
Ba 3.252 2.134 5.661
Ba -0.589 2.748 12.010
Ba 5.400 5.203 3.408
Ba 1.559 9.442 9.757
Na -3.119 0.990 9.415
Na 0.722 3.892 3.066
Na -0.063 5.872 9.633
Na 3.778 8.773 3.284
Rh 0.000 0.000 0.000
Rh -3.841 4.882 6.349
I 0.330 0.000 6.349
I 4.171 4.882 0.000
```

Summary:
For the uncorrected formation energy, the calculation gives -0.328 eV/atom.



2.
DFT (GGA-PBE) results for an optimized crystal structure of Tm3BP2Ir9.

extended XYZ file:
```
15
Lattice="6.457 0.000 0.000 -3.229 5.592 0.000 0.000 0.000 6.976" Properties=species:S:1:pos:R:3 pbc="T T T"
Tm 0.000 0.000 0.000
Tm 0.000 3.728 4.565
Tm 3.229 1.864 2.411
B 0.000 0.000 3.488
P 0.000 3.728 1.471
P 3.229 1.864 5.504
Ir -1.614 2.796 0.000
Ir 0.000 1.648 2.235
Ir -1.801 4.768 2.235
Ir 1.427 0.824 4.740
Ir 3.229 0.000 0.000
Ir 1.614 2.796 0.000
Ir 1.801 4.768 2.235
Ir 5.030 0.824 4.740
Ir 3.229 3.944 4.740
```

Summary:
Its energy of formation is -476 meV/atom.



3.
DFT (GGA-PBE) results for an optimized crystal structure of SbMoRh2.

extended XYZ file:
```
4
Lattice="4.559 -1.500 0.000 4.559 1.500 0.000 -0.770 0.000 4.742" Properties=species:S:1:pos:R:3 pbc="T T T"
Sb 0.000 0.000 0.000
Mo 4.175 0.000 2.371
Rh 1.688 0.000 3.495
Rh 6.661 0.000 1.248
```

Summary:
For the uncorrected formation energy, the calculation gives -0.035 eV/atom.



4.
DFT (GGA-PBE) results for an optimized crystal structure of NaLi3Ac2Sb4.

extended XYZ file:
```
10
Lattice="4.795 0.000 0.000 0.000 4.795 0.000 0.000 0.000 11.664" Properties=species:S:1:pos:R:3 pbc="T T T"
Na 0.000 0.000 0.000
Li 0.000 2.397 4.511
Li 2.397 0.000 7.153
Li 2.397 2.397 0.000
Ac 0.000 2.397 8.442
Ac 2.397 0.000 3.222
Sb 0.000 0.000 5.832
Sb 0.000 2.397 1.877
Sb 2.397 0.000 9.787
Sb 2.397 2.397 5.832
```

Summary:
For the uncorrected formation energy, the calculation gives -0.771 eV/atom.



5.
DFT (GGA-PBE) results for an optimized crystal structure of Ho2InCu.

extended XYZ file:
```
4
Lattice="3.507 0.000 0.000 0.000 3.507 0.000 0.000 0.000 7.633" Properties=species:S:1:pos:R:3 pbc="T T T"
Ho 0.000 0.000 1.699
Ho 0.000 0.000 5.934
In 1.754 1.754 3.817
Cu 1.754 1.754 0.000
```

Summary:
Its energy of formation is -360 meV/atom.



6.
DFT (GGA-PBE) results for an optimized crystal structure of Sm2TcPt.

extended XYZ file:
```
4
Lattice="3.577 0.000 0.000 0.000 3.577 0.000 0.000 0.000 6.862" Properties=species:S:1:pos:R:3 pbc="T T T"
Sm 0.000 0.000 1.693
Sm 0.000 0.000 5.169
Tc 1.789 1.789 0.000
Pt 1.789 1.789 3.431
```

Summary:
Its energy of formation is -438 meV/atom.



7.
DFT (GGA-PBE) results for an optimized crystal structure of TbSiB.

extended XYZ file:
```
6
Lattice="3.582 0.000 0.000 0.000 4.112 0.000 0.000 0.000 6.273" Properties=species:S:1:pos:R:3 pbc="T T T"
Tb 0.896 0.000 1.469
Tb 2.687 0.000 4.804
Si 0.896 2.056 3.837
Si 2.687 2.056 2.436
B 0.896 2.056 5.905
B 2.687 2.056 0.368
```

Summary:
The value obtained for the energy above the most stable polymorph in this dataset is 144.2 meV per atom. For the uncorrected formation energy, the calculation gives -0.521 eV/atom.



8.
DFT (GGA-PBE) results for an optimized crystal structure of MnFeCu2.

extended XYZ file:
```
4
Lattice="-1.811 1.811 3.734 1.811 -1.811 3.734 1.811 1.811 -3.734" Properties=species:S:1:pos:R:3 pbc="T T T"
Mn 0.000 0.000 0.000
Fe 0.000 0.000 3.734
Cu 1.811 0.000 1.867
Cu 0.000 1.811 1.867
```

Summary:
Its energy of formation is 185 meV/atom.



9.
DFT (GGA-PBE) results for an optimized crystal structure of ReOsPt.

extended XYZ file:
```
6
Lattice="3.325 -1.929 0.000 3.325 1.929 0.000 -2.222 0.000 8.404" Properties=species:S:1:pos:R:3 pbc="T T T"
Re 0.003 0.000 2.289
Re 4.426 0.000 6.115
Os 0.001 0.000 4.971
Os 4.428 0.000 3.433
Pt -0.008 0.000 7.599
Pt 4.437 0.000 0.805
```

Summary:
The value obtained for the energy above the most stable polymorph in this dataset is 494.9 meV per atom. Its energy of formation is 478 meV/atom.



10.
DFT (GGA-PBE) results for an optimized crystal structure of CePu3Ge2.

extended XYZ file:
```
6
Lattice="5.027 0.000 0.000 -2.513 4.353 0.000 0.000 0.000 6.254" Properties=species:S:1:pos:R:3 pbc="T T T"
Ce 0.000 0.000 0.000
Pu 0.000 0.000 3.127
Pu 0.000 2.902 4.678
Pu 2.513 1.451 1.575
Ge 0.000 2.902 1.593
Ge 2.513 1.451 4.661
```

Summary:
The value obtained for the energy above the most stable polymorph in this dataset is 15.8 meV per atom. Its energy of formation is -362 meV/atom.



11.
DFT (GGA-PBE) results for an optimized crystal structure of ZnNiPCl2.

extended XYZ file:
```
5
Lattice="4.615 0.000 0.000 0.000 4.615 0.000 0.000 0.000 4.599" Properties=species:S:1:pos:R:3 pbc="T T T"
Zn 0.000 0.000 0.000
Ni 2.307 2.307 2.299
P 2.307 2.307 0.000
Cl 0.000 2.307 2.299
Cl 2.307 0.000 2.299
```

Summary:
The value obtained for the energy above the most stable polymorph in this dataset is 0.0 meV per atom. For the uncorrected formation energy, the calculation gives 0.171 eV/atom.



12.
DFT (GGA-PBE) results for an optimized crystal structure of PmZnCl5.

extended XYZ file:
```
14
Lattice="5.567 -4.111 0.000 5.567 4.111 0.000 -3.793 0.000 8.425" Properties=species:S:1:pos:R:3 pbc="T T T"
Pm 2.722 3.592 6.319
Pm 4.619 -3.592 2.106
Zn 5.567 0.000 0.000
Zn 3.671 0.000 4.212
Cl 5.247 2.532 0.287
Cl 3.991 2.532 3.925
Cl 1.494 0.250 3.146
Cl -0.402 -0.250 7.358
Cl 2.722 0.773 6.319
Cl 4.619 -0.773 2.106
Cl 7.743 0.250 1.067
Cl 5.847 -0.250 5.279
Cl 3.351 -2.532 4.500
Cl 2.094 -2.532 8.138
```

Summary:
The value obtained for the energy above the most stable polymorph in this dataset is 76.5 meV per atom. For the uncorrected formation energy, the calculation gives -1.687 eV/atom.



Number 1: raw total energy -2.64 eV per atom, calculated volume 51.7 Å³/atom. Number 2: raw total energy -7.85 eV per atom, calculated volume 16.8 Å³/atom. Number 3: raw total energy -7.45 eV per atom, calculated volume 16.2 Å³/atom. Number 4: raw total energy -3.95 eV per atom, calculated volume 26.8 Å³/atom. Number 5: raw total energy -4.36 eV per atom, calculated volume 23.5 Å³/atom. Number 6: raw total energy -6.90 eV per atom, calculated volume 22.0 Å³/atom. Number 7: raw total energy -6.10 eV per atom, calculated volume 15.4 Å³/atom. Number 8: raw total energy -6.27 eV per atom, calculated volume 12.3 Å³/atom. Number 9: raw total energy -9.43 eV per atom, calculated volume 18.0 Å³/atom. Number 10: raw total energy -10.06 eV per atom, calculated volume 22.8 Å³/atom. Number 11: raw total energy -3.06 eV per atom, calculated volume 19.6 Å³/atom. Number 12: raw total energy -3.87 eV per atom, calculated volume 27.5 Å³/atom.